HgMo2Pb | PBE | optimized geometry

Unit cell a=3.0312 b=3.0312 c=10.1078 alpha=90.00 beta=90.00 gamma=113.30
Element x y z (fractional)
Mo 0.0000 0.0000 0.0289
Mo 0.5000 0.5000 0.2134
Pb 0.0000 0.0000 0.4735
Hg 0.5000 0.5000 0.7842

## Properties
magnetization: 0.000 μB per formula unit
energy above the most stable polymorph in this dataset: 79 meV/atom
ΔE_f: 0.475 eV per atom
density of states at the Fermi level: 2.5 states/eV per cell
DFT total energy: -23.77 eV/cell



AcSb4As | PBE | optimized geometry

Unit cell a=6.2630 b=6.2630 c=6.2630 alpha=60.00 beta=60.00 gamma=60.00
Element x y z (fractional)
Sb 0.6272 0.1185 0.6272
Ac 0.2500 0.2500 0.2500
Sb 0.1185 0.6272 0.6272
As 0.0000 0.0000 0.0000
Sb 0.6272 0.6272 0.6272
Sb 0.6272 0.6272 0.1185

## Properties
magnetization: 0.000 μB per formula unit
density of states at the Fermi level: 3.3 states/eV per cell
DFT total energy: -25.84 eV/cell
raw formation energy: -0.098 eV per atom



CePd2Au2 | PBE | optimized geometry

Unit cell a=5.4621 b=4.7415 c=4.7415 alpha=120.00 beta=90.00 gamma=90.00
Element x y z (fractional)
Au 0.6481 0.6667 0.3333
Ce 0.0000 0.0000 0.0000
Au 0.3519 0.3333 0.6667
Pd 0.1560 0.6667 0.3333
Pd 0.8440 0.3333 0.6667

## Properties
magnetization: 0.633 μB per formula unit
energy above the most stable polymorph in this dataset: 86 meV/atom
ΔE_f: -0.445 eV per atom
density of states at the Fermi level: 6.7 states/eV per cell
DFT total energy: -25.10 eV/cell



InTe | PBE | optimized geometry

Unit cell a=8.6664 b=8.6664 c=8.6664 alpha=151.49 beta=151.49 gamma=40.76
Element x y z (fractional)
In 0.2500 0.7500 0.5000
Te 0.5000 0.5000 0.0000
In 0.0000 0.0000 0.0000
Te 0.7500 0.2500 0.5000

## Properties
magnetization: 0.000 μB per formula unit
density of states at the Fermi level: 0.4 states/eV per cell
DFT total energy: -12.11 eV/cell
raw formation energy: -0.087 eV per atom



YZrZn10 | PBE | optimized geometry

Unit cell a=4.1704 b=5.2594 c=9.0460 alpha=90.00 beta=90.00 gamma=90.00
Element x y z (fractional)
Zr 0.0000 0.5000 0.5000
Zn 0.0000 0.5000 0.8251
Y 0.0000 0.0000 0.0000
Zn 0.5000 0.7475 0.2549
Zn 0.5000 0.7475 0.7451
Zn 0.0000 0.0000 0.6592
Zn 0.5000 0.2525 0.7451
Zn 0.5000 0.2525 0.2549
Zn 0.5000 0.0000 0.5000
Zn 0.0000 0.0000 0.3408
Zn 0.0000 0.5000 0.1749
Zn 0.5000 0.5000 0.0000

## Properties
magnetization: 0.000 μB per formula unit
ΔE_f: -0.208 eV per atom
density of states at the Fermi level: 3.7 states/eV per cell
DFT total energy: -30.25 eV/cell



RbCa3Ag4Br12 | PBE | optimized geometry

Unit cell a=9.6027 b=9.6027 c=9.6027 alpha=106.07 beta=106.07 gamma=106.07
Element x y z (fractional)
Br 0.9861 0.2485 0.3416
Br 0.9095 0.5000 0.0905
Ag 0.5000 0.5000 0.5000
Br 0.0905 0.9095 0.5000
Br 0.3416 0.9861 0.2485
Br 0.7515 0.0139 0.6584
Br 0.3308 0.6692 0.5000
Br 0.5000 0.3308 0.6692
Ca 0.5689 0.4311 0.0000
Ca 0.4311 0.0000 0.5689
Ag 0.9113 0.0887 0.5000
Ag 0.0887 0.5000 0.9113
Br 0.2485 0.3416 0.9861
Br 0.6692 0.5000 0.3308
Ca 0.0000 0.5689 0.4311
Br 0.6584 0.7515 0.0139
Br 0.0139 0.6584 0.7515
Br 0.5000 0.0905 0.9095
Ag 0.5000 0.9113 0.0887
Rb 0.0000 0.0000 0.0000

## Properties
magnetization: 0.000 μB per formula unit
density of states at the Fermi level: 15.8 states/eV per cell
DFT total energy: -61.87 eV/cell
raw formation energy: -1.171 eV per atom



TaBeCo2 | PBE | optimized geometry

Unit cell a=4.7448 b=4.6992 c=2.6288 alpha=77.31 beta=83.17 gamma=118.14
Element x y z (fractional)
Co 0.0000 0.0000 0.0000
Be 0.5000 0.5000 0.0000
Co 0.5000 0.0000 0.5000
Ta 0.0000 0.5000 0.5000

## Properties
magnetization: 0.853 μB per formula unit
ΔE_f: 0.100 eV per atom
density of states at the Fermi level: 3.9 states/eV per cell
DFT total energy: -29.39 eV/cell



Ac2Tb3Dy8 | PBE | optimized geometry

Unit cell a=6.2369 b=8.8262 c=8.8262 alpha=83.20 beta=72.41 gamma=72.41
Element x y z (fractional)
Dy 0.0387 0.8472 0.8472
Dy 0.3236 0.9136 0.4206
Dy 0.6764 0.5794 0.0864
Ac 0.3555 0.2980 0.2980
Ac 0.6445 0.7020 0.7020
Dy 0.2264 0.5693 0.5693
Tb 0.0000 0.7544 0.2456
Dy 0.9613 0.1528 0.1528
Dy 0.3236 0.4206 0.9136
Dy 0.7736 0.4307 0.4307
Dy 0.6764 0.0864 0.5794
Tb 0.5000 0.0000 0.0000
Tb 0.0000 0.2456 0.7544

## Properties
magnetization: 0.000 μB per formula unit
ΔE_f: 0.206 eV per atom
density of states at the Fermi level: 20.2 states/eV per cell
DFT total energy: -56.25 eV/cell



Which formula does entry 8 have? Ac2Tb3Dy8



The highest density of states at the Fermi level belongs to which entry? Ac2Tb3Dy8



Which of these has the lowest DFT total energy? RbCa3Ag4Br12



Number 8 is which compound? Ac2Tb3Dy8